First-principles (PBE) data for an optimized crystal structure of CsMg2Bi, as listed in the Alexandria database.

Computed properties:
* calculated total energy: -7.88 eV per formula unit
* SG: I4_1/amd (141)
* N(E_F): 0.466 states/eV/f.u.
* formation energy: 0.01 eV per atom

a b c (Å): 6.1313 6.1313 20.4910
angles (deg): 90.00 90.00 90.00
With the nearest neighbours (Å) after each atom.
Sites, in units of the cell vectors:
Cs (0.0000, 0.2500, 0.3750)  8 Mg 4.28, 4 Bi 4.34
Cs (0.0000, 0.7500, 0.6250)  8 Mg 4.28, 4 Bi 4.34
Cs (0.5000, 0.2500, 0.1250)  8 Mg 4.28, 4 Bi 4.34
Cs (0.5000, 0.7500, 0.8750)  8 Mg 4.28, 4 Bi 4.34
Mg (0.0000, 0.0000, 0.0000)  2 Bi 2.98, 2 Mg 3.07
Mg (0.0000, 0.5000, 0.0000)  2 Bi 2.98, 2 Mg 3.07
Mg (0.2500, 0.2500, 0.7500)  2 Bi 2.98, 2 Mg 3.07
Mg (0.2500, 0.7500, 0.2500)  2 Bi 2.98, 2 Mg 3.07
Mg (0.5000, 0.0000, 0.5000)  2 Bi 2.98, 2 Mg 3.07
Mg (0.5000, 0.5000, 0.5000)  2 Bi 2.98, 2 Mg 3.07
Mg (0.7500, 0.2500, 0.7500)  2 Bi 2.98, 2 Mg 3.07
Mg (0.7500, 0.7500, 0.2500)  2 Bi 2.98, 2 Mg 3.07
Bi (0.0000, 0.2500, 0.8750)  4 Mg 2.98
Bi (0.0000, 0.7500, 0.1250)  4 Mg 2.98
Bi (0.5000, 0.2500, 0.6250)  4 Mg 2.98
Bi (0.5000, 0.7500, 0.3750)  4 Mg 2.98